Record 1
{"formula": "Pr3YHoEr", "functional": "PBE-GGA", "state": "relaxed", "lattice_angstrom": [[-1.700, 0.094, -4.838], [1.549, -7.699, 2.025], [-9.642, -1.055, 3.366]], "species": ["Pr", "Pr", "Pr", "Pr", "Pr", "Pr", "Y", "Y", "Ho", "Ho", "Er", "Er"], "fractional_positions": [[0.664, 0.329, 0.500], [0.336, 0.671, 0.500], [0.336, 0.671, 0.000], [0.664, 0.329, 0.000], [0.165, 0.330, 0.750], [0.835, 0.670, 0.250], [0.835, 0.671, 0.750], [0.165, 0.329, 0.250], [0.000, 0.000, 0.500], [0.000, 0.000, 0.000], [0.499, 0.998, 0.750], [0.501, 0.002, 0.250]], "e_form_ev_per_atom": 0.02, "vol_a3_per_atom": 33.77, "spacegroup": "Cmcm, No. 63", "dft_energy_ev_per_atom": -4.967}

***

Record 2
{"formula": "PrY6Ho3Er2", "functional": "PBE-GGA", "state": "relaxed", "lattice_angstrom": [[6.162, 0.002, 0.012], [-3.078, 5.338, 0.012], [-1.044, -1.808, 11.621]], "species": ["Pr", "Y", "Y", "Y", "Y", "Y", "Y", "Ho", "Ho", "Ho", "Er", "Er"], "fractional_positions": [[0.000, 0.000, 0.000], [0.915, 0.581, 0.749], [0.750, 0.750, 0.251], [0.085, 0.419, 0.251], [0.581, 0.915, 0.749], [0.250, 0.250, 0.749], [0.419, 0.085, 0.251], [0.167, 0.833, 0.500], [0.833, 0.167, 0.500], [0.500, 0.500, 0.500], [0.333, 0.667, 0.000], [0.667, 0.333, 0.000]], "e_form_ev_per_atom": 0.02, "vol_a3_per_atom": 31.88, "spacegroup": "C2/m, No. 12", "dft_energy_ev_per_atom": -5.513}

***

Record 3
{"formula": "PrYHo6Er2", "functional": "PBE-GGA", "state": "relaxed", "lattice_angstrom": [[-9.435, -0.298, -0.960], [0.698, -8.690, 0.960], [-0.372, 4.896, 7.267]], "species": ["Pr", "Pr", "Y", "Y", "Ho", "Ho", "Ho", "Ho", "Ho", "Ho", "Ho", "Ho", "Ho", "Ho", "Ho", "Ho", "Er", "Er", "Er", "Er"], "fractional_positions": [[0.250, 0.973, 0.027], [0.750, 0.027, 0.973], [0.250, 0.410, 0.590], [0.750, 0.590, 0.410], [0.057, 0.123, 0.751], [0.443, 0.249, 0.877], [0.943, 0.877, 0.249], [0.557, 0.751, 0.123], [0.319, 0.981, 0.436], [0.181, 0.564, 0.019], [0.681, 0.019, 0.564], [0.819, 0.436, 0.981], [0.118, 0.709, 0.490], [0.382, 0.510, 0.291], [0.882, 0.291, 0.510], [0.618, 0.490, 0.709], [0.453, 0.801, 0.695], [0.047, 0.305, 0.199], [0.547, 0.199, 0.305], [0.953, 0.695, 0.801]], "e_form_ev_per_atom": 0.12, "vol_a3_per_atom": 32.08, "spacegroup": "C2/c, No. 15", "dft_energy_ev_per_atom": -4.664}

***

Record 4
{"formula": "PrY6Ho2Er3", "functional": "PBE-GGA", "state": "relaxed", "lattice_angstrom": [[-4.333, 3.535, 2.586], [1.098, -5.640, 2.223], [9.003, 5.105, 5.669]], "species": ["Pr", "Y", "Y", "Y", "Y", "Y", "Y", "Ho", "Ho", "Er", "Er", "Er"], "fractional_positions": [[0.000, 0.000, 0.000], [0.915, 0.581, 0.748], [0.750, 0.750, 0.252], [0.085, 0.419, 0.252], [0.581, 0.915, 0.748], [0.250, 0.250, 0.748], [0.419, 0.085, 0.252], [0.333, 0.667, 0.000], [0.667, 0.333, 0.000], [0.167, 0.833, 0.500], [0.833, 0.167, 0.500], [0.500, 0.500, 0.500]], "e_form_ev_per_atom": 0.02, "vol_a3_per_atom": 31.86, "spacegroup": "C2/m, No. 12", "dft_energy_ev_per_atom": -5.511}

***

Record 5
{"formula": "Pr2YHoEr2", "functional": "PBE-GGA", "state": "relaxed", "lattice_angstrom": [[5.664, 0.000, 0.000], [0.000, 7.052, 0.000], [0.000, 0.000, 9.824]], "species": ["Pr", "Pr", "Pr", "Pr", "Y", "Y", "Ho", "Ho", "Er", "Er", "Er", "Er"], "fractional_positions": [[0.500, 0.008, 0.000], [0.000, 0.258, 0.176], [0.500, 0.508, 0.000], [0.000, 0.758, 0.824], [0.000, 0.008, 0.500], [0.000, 0.508, 0.500], [0.500, 0.258, 0.660], [0.500, 0.758, 0.340], [0.000, 0.257, 0.835], [0.500, 0.258, 0.334], [0.000, 0.757, 0.165], [0.500, 0.758, 0.666]], "e_form_ev_per_atom": 0.07, "vol_a3_per_atom": 32.70, "spacegroup": "Pmma, No. 51", "dft_energy_ev_per_atom": -4.888}

***

Record 6
{"formula": "Pr2Y2HoEr", "functional": "PBE-GGA", "state": "relaxed", "lattice_angstrom": [[5.684, 0.000, 0.000], [0.000, 7.099, 0.000], [0.000, 0.000, 9.825]], "species": ["Pr", "Pr", "Pr", "Pr", "Y", "Y", "Y", "Y", "Ho", "Ho", "Er", "Er"], "fractional_positions": [[0.000, 0.258, 0.818], [0.500, 0.258, 0.351], [0.000, 0.758, 0.182], [0.500, 0.758, 0.649], [0.500, 0.008, 0.000], [0.000, 0.258, 0.156], [0.500, 0.508, 0.000], [0.000, 0.758, 0.844], [0.500, 0.258, 0.680], [0.500, 0.758, 0.320], [0.000, 0.008, 0.500], [0.000, 0.508, 0.500]], "e_form_ev_per_atom": 0.06, "vol_a3_per_atom": 33.04, "spacegroup": "Pmma, No. 51", "dft_energy_ev_per_atom": -5.213}

***

Record 7
{"formula": "Pr6YHo2Er", "functional": "PBE-GGA", "state": "relaxed", "lattice_angstrom": [[-8.652, 2.955, -3.256], [1.125, -6.007, -6.635], [-3.288, -2.953, 7.864]], "species": ["Pr", "Pr", "Pr", "Pr", "Pr", "Pr", "Pr", "Pr", "Pr", "Pr", "Pr", "Pr", "Y", "Y", "Ho", "Ho", "Ho", "Ho", "Er", "Er"], "fractional_positions": [[0.053, 0.117, 0.763], [0.447, 0.237, 0.883], [0.947, 0.883, 0.237], [0.553, 0.763, 0.117], [0.311, 0.992, 0.436], [0.189, 0.564, 0.008], [0.689, 0.008, 0.564], [0.811, 0.436, 0.992], [0.118, 0.708, 0.493], [0.382, 0.507, 0.292], [0.882, 0.292, 0.507], [0.618, 0.493, 0.708], [0.250, 0.973, 0.027], [0.750, 0.027, 0.973], [0.454, 0.800, 0.701], [0.046, 0.299, 0.200], [0.546, 0.200, 0.299], [0.954, 0.701, 0.800], [0.250, 0.412, 0.588], [0.750, 0.588, 0.412]], "e_form_ev_per_atom": 0.11, "vol_a3_per_atom": 34.59, "spacegroup": "C2/c, No. 15", "dft_energy_ev_per_atom": -4.772}

***

Record 8
{"formula": "PrHoErZn", "functional": "PBE-GGA", "state": "relaxed", "lattice_angstrom": [[3.573, 0.000, 0.000], [0.000, 3.573, 0.000], [0.000, 0.000, 8.753]], "species": ["Pr", "Ho", "Er", "Zn"], "fractional_positions": [[0.000, 0.000, 0.072], [0.500, 0.500, 0.771], [0.500, 0.500, 0.371], [0.000, 0.000, 0.570]], "e_form_ev_per_atom": -0.16, "vol_a3_per_atom": 27.94, "spacegroup": "P4mm, No. 99", "dft_energy_ev_per_atom": -3.963, "polymorph_energy_mev_per_atom": 0.0}

***

Record 9
{"formula": "PrHoErZn", "functional": "PBE-GGA", "state": "relaxed", "lattice_angstrom": [[5.387, 0.000, 0.000], [2.693, 4.665, 0.000], [2.693, 1.555, 4.398]], "species": ["Pr", "Zn", "Ho", "Er"], "fractional_positions": [[0.250, 0.250, 0.250], [0.000, 0.000, 0.000], [0.750, 0.750, 0.750], [0.500, 0.500, 0.500]], "e_form_ev_per_atom": 0.04, "vol_a3_per_atom": 27.63, "spacegroup": "F-43m, No. 216", "dft_energy_ev_per_atom": -3.758, "polymorph_energy_mev_per_atom": 205.2}

***

Record 10
{"formula": "Pr3Ho2Er6Zr", "functional": "PBE-GGA", "state": "relaxed", "lattice_angstrom": [[6.125, 0.002, 0.009], [-3.059, 5.306, 0.009], [-1.036, -1.793, 11.458]], "species": ["Pr", "Pr", "Pr", "Ho", "Ho", "Er", "Er", "Er", "Er", "Er", "Er", "Zr"], "fractional_positions": [[0.166, 0.834, 0.500], [0.834, 0.166, 0.500], [0.500, 0.500, 0.500], [0.333, 0.667, 0.000], [0.667, 0.333, 0.000], [0.921, 0.594, 0.760], [0.753, 0.753, 0.240], [0.079, 0.406, 0.240], [0.594, 0.921, 0.760], [0.247, 0.247, 0.760], [0.406, 0.079, 0.240], [0.000, 0.000, 0.000]], "e_form_ev_per_atom": 0.05, "vol_a3_per_atom": 31.05, "spacegroup": "C2/m, No. 12", "dft_energy_ev_per_atom": -4.905}

***

Record 11
{"formula": "Pr3Ho6Er2Zr", "functional": "PBE-GGA", "state": "relaxed", "lattice_angstrom": [[-5.024, 3.321, 1.151], [1.620, -4.521, 3.812], [7.441, 7.822, 4.473]], "species": ["Pr", "Pr", "Pr", "Ho", "Ho", "Ho", "Ho", "Ho", "Ho", "Er", "Er", "Zr"], "fractional_positions": [[0.166, 0.834, 0.500], [0.834, 0.166, 0.500], [0.500, 0.500, 0.500], [0.921, 0.594, 0.760], [0.753, 0.753, 0.240], [0.079, 0.406, 0.240], [0.594, 0.921, 0.760], [0.247, 0.247, 0.760], [0.406, 0.079, 0.240], [0.333, 0.667, 0.000], [0.667, 0.333, 0.000], [0.000, 0.000, 0.000]], "e_form_ev_per_atom": 0.05, "vol_a3_per_atom": 31.23, "spacegroup": "C2/m, No. 12", "dft_energy_ev_per_atom": -4.910}

***

Record 12
{"formula": "HoEr2Pt", "functional": "PBE-GGA", "state": "relaxed", "lattice_angstrom": [[-1.066, -2.959, -5.633], [-0.084, -6.187, 3.266], [-9.349, 0.831, 1.333]], "species": ["Ho", "Ho", "Ho", "Ho", "Er", "Er", "Er", "Er", "Er", "Er", "Er", "Er", "Pt", "Pt", "Pt", "Pt"], "fractional_positions": [[0.629, 0.525, 0.250], [0.871, 0.025, 0.250], [0.371, 0.475, 0.750], [0.129, 0.975, 0.750], [0.179, 0.681, 0.061], [0.321, 0.181, 0.439], [0.821, 0.319, 0.561], [0.679, 0.819, 0.939], [0.821, 0.319, 0.939], [0.679, 0.819, 0.561], [0.179, 0.681, 0.439], [0.321, 0.181, 0.061], [0.050, 0.389, 0.250], [0.450, 0.889, 0.250], [0.950, 0.611, 0.750], [0.550, 0.111, 0.750]], "e_form_ev_per_atom": -0.74, "vol_a3_per_atom": 26.75, "spacegroup": "Pnma, No. 62", "dft_energy_ev_per_atom": -5.672, "polymorph_energy_mev_per_atom": 0.0}